(1)
A plane-wave DFT calculation with SCAN was carried out for a PBEsol-optimized structure of TiCo3Ge. Values from VASP.

Structure (Quantum ESPRESSO input):
```
&SYSTEM
  ibrav = 0, nat = 5, ntyp = 3
/
ATOMIC_SPECIES
Ti 47.87 Ti.upf
Co 58.93 Co.upf
Ge 72.64 Ge.upf
CELL_PARAMETERS angstrom
4.192 0.000 0.000
0.000 4.192 0.000
0.000 0.000 4.192
ATOMIC_POSITIONS angstrom
Ti 0.000 0.000 0.000
Co 0.000 2.096 2.096
Co 2.096 0.000 2.096
Co 2.096 2.096 0.000
Ge 2.096 2.096 2.096
```

Output
Energy of formation from the pure elements, eV per atom: 0.6249
SG: No. 221

---

(2)
A plane-wave DFT calculation with SCAN was carried out for a PBEsol-optimized structure of CuAu. Values from VASP.

Structure (Quantum ESPRESSO input):
```
&SYSTEM
  ibrav = 0, nat = 24, ntyp = 2
/
ATOMIC_SPECIES
Cu 63.55 Cu.upf
Au 196.97 Au.upf
CELL_PARAMETERS angstrom
8.736 0.000 0.000
0.000 7.582 0.000
0.000 0.000 5.242
ATOMIC_POSITIONS angstrom
Cu 0.882 0.457 1.311
Cu 0.882 3.334 3.932
Cu 3.259 4.585 1.311
Cu 3.259 6.788 3.932
Cu 3.471 1.896 0.000
Cu 3.471 1.896 2.621
Cu 5.265 5.687 0.000
Cu 5.265 5.687 2.621
Cu 5.477 0.794 1.311
Cu 5.477 2.997 3.932
Cu 7.854 4.248 1.311
Cu 7.854 7.125 3.932
Au 1.089 5.687 0.000
Au 1.089 5.687 2.621
Au 1.361 0.863 3.932
Au 1.361 2.928 1.311
Au 3.305 4.234 3.932
Au 3.305 7.139 1.311
Au 5.431 0.443 3.932
Au 5.431 3.348 1.311
Au 7.375 4.654 3.932
Au 7.375 6.719 1.311
Au 7.647 1.896 0.000
Au 7.647 1.896 2.621
```

Output
Energy of formation from the pure elements, eV per atom: -0.0103
SG: No. 57

---

(3)
A plane-wave DFT calculation with SCAN was carried out for a PBEsol-optimized structure of Ba2NaIr. Values from VASP.

Structure (Quantum ESPRESSO input):
```
&SYSTEM
  ibrav = 0, nat = 4, ntyp = 3
/
ATOMIC_SPECIES
Ba 137.33 Ba.upf
Na 22.99 Na.upf
Ir 192.22 Ir.upf
CELL_PARAMETERS angstrom
0.000 3.889 3.889
3.889 0.000 3.889
3.889 3.889 0.000
ATOMIC_POSITIONS angstrom
Ba 1.945 1.945 1.945
Ba 5.834 5.834 5.834
Na 0.000 0.000 0.000
Ir 3.889 3.889 3.889
```

Output
Energy of formation from the pure elements, eV per atom: 0.0648
SG: No. 225

---

(4)
A plane-wave DFT calculation with SCAN was carried out for a PBEsol-optimized structure of Zr5Zn4Si4. Values from VASP.

Structure (Quantum ESPRESSO input):
```
&SYSTEM
  ibrav = 0, nat = 13, ntyp = 3
/
ATOMIC_SPECIES
Zr 91.22 Zr.upf
Zn 65.41 Zn.upf
Si 28.09 Si.upf
CELL_PARAMETERS angstrom
-5.348 5.348 1.883
5.348 -5.348 1.883
5.348 5.348 -1.883
ATOMIC_POSITIONS angstrom
Zr 0.000 0.000 0.000
Zr 6.727 3.196 0.000
Zr 3.196 3.968 0.000
Zr 2.152 1.380 1.883
Zr -1.380 2.152 1.883
Zn 4.433 1.114 0.000
Zn 4.233 -0.914 1.883
Zn 1.114 6.262 0.000
Zn 0.914 4.233 1.883
Si 8.079 0.640 0.000
Si 0.640 2.616 0.000
Si 4.708 2.732 1.883
Si -2.732 4.708 1.883
```

Output
Formation energy without anion corrections, eV/f.u.: -8.25
SG: No. 87

---

(5)
A plane-wave DFT calculation with SCAN was carried out for a PBEsol-optimized structure of Li3TiPt. Values from VASP.

Structure (Quantum ESPRESSO input):
```
&SYSTEM
  ibrav = 0, nat = 5, ntyp = 3
/
ATOMIC_SPECIES
Li 6.94 Li.upf
Ti 47.87 Ti.upf
Pt 195.08 Pt.upf
CELL_PARAMETERS angstrom
4.528 0.000 0.000
0.000 4.528 0.000
0.000 0.000 4.528
ATOMIC_POSITIONS angstrom
Li 0.000 0.000 2.264
Li 0.000 2.264 0.000
Li 2.264 0.000 0.000
Ti 2.264 2.264 2.264
Pt 0.000 0.000 0.000
```

Output
Energy of formation from the pure elements, eV per atom: 0.2728
SG: No. 221
Energy relative to the lowest polymorph listed for this composition, kJ per mole of atoms: 0.0

---

(6)
A plane-wave DFT calculation with SCAN was carried out for a PBEsol-optimized structure of CsZn2SnP. Values from VASP.

Structure (Quantum ESPRESSO input):
```
&SYSTEM
  ibrav = 0, nat = 5, ntyp = 4
/
ATOMIC_SPECIES
Cs 132.91 Cs.upf
Zn 65.41 Zn.upf
Sn 118.71 Sn.upf
P 30.97 P.upf
CELL_PARAMETERS angstrom
5.373 0.000 0.000
0.000 5.373 0.000
0.000 0.000 5.175
ATOMIC_POSITIONS angstrom
Cs 0.000 0.000 0.000
Zn 0.000 2.686 2.588
Zn 2.686 0.000 2.588
Sn 2.686 2.686 2.588
P 2.686 2.686 0.000
```

Output
Energy of formation from the pure elements, eV per atom: 0.2891
SG: No. 123

---

(7)
A plane-wave DFT calculation with SCAN was carried out for a PBEsol-optimized structure of Si2IrW. Values from VASP.

Structure (Quantum ESPRESSO input):
```
&SYSTEM
  ibrav = 0, nat = 4, ntyp = 3
/
ATOMIC_SPECIES
Si 28.09 Si.upf
Ir 192.22 Ir.upf
W 183.84 W.upf
CELL_PARAMETERS angstrom
2.733 0.000 0.000
0.000 2.733 0.000
0.000 0.000 7.724
ATOMIC_POSITIONS angstrom
Si 0.000 0.000 0.000
Si 1.366 1.366 2.193
Ir 1.366 1.366 6.028
W 0.000 0.000 4.106
```

Output
Formation energy without anion corrections, eV/f.u.: 0.02
SG: No. 99
Energy relative to the lowest polymorph listed for this composition, kJ per mole of atoms: 30.7

---

(8)
A plane-wave DFT calculation with SCAN was carried out for a PBEsol-optimized structure of Pt3PbN. Values from VASP.

Structure (Quantum ESPRESSO input):
```
&SYSTEM
  ibrav = 0, nat = 5, ntyp = 3
/
ATOMIC_SPECIES
Pt 195.08 Pt.upf
Pb 207.20 Pb.upf
N 14.01 N.upf
CELL_PARAMETERS angstrom
5.048 0.000 0.000
0.000 5.048 0.000
0.000 0.000 5.048
ATOMIC_POSITIONS angstrom
Pt 0.000 0.000 2.524
Pt 0.000 2.524 0.000
Pt 2.524 0.000 0.000
Pb 0.000 0.000 0.000
N 2.524 2.524 2.524
```

Output
Formation energy without anion corrections, eV/f.u.: 12.13
SG: No. 221